DFT (GGA-PBE) results for crystalline BaHg10Au2 at its relaxed geometry.

Output
Mass density ... 12.24 Mg/m³
V ... 26.48 A^3/atom
ΔH_f (0 K) ... -0.113 eV per atom

Unit cell a=10.606 b=8.296 c=7.903 alpha=81.76 beta=50.72 gamma=47.52
Fractional positions:
Ba  0.000  0.000  0.000
Hg  0.000  0.500  0.000
Hg  0.011  0.645  0.355
Hg  0.288  0.508  0.492
Hg  0.355  0.989  0.011
Hg  0.492  0.712  0.288
Hg  0.500  0.000  0.500
Hg  0.508  0.288  0.712
Hg  0.645  0.011  0.989
Hg  0.712  0.492  0.508
Hg  0.989  0.355  0.645
Au  0.000  0.000  0.500
Au  0.500  0.500  0.000